No. 1
NaLi2NbC, relaxed, DFT PBE-GGA; total energy = -2.417 eV per atom; energy of formation from the pure elements = 2.47 eV per atom; density = 1.29 Mg/m³
1.0
-1.029 4.953 -1.993
-2.359 -2.542 -5.100
-4.918 -0.089 2.319
Na Nb C Li
1 1 1 2
Direct
0.000 0.500 0.000
0.000 0.000 0.000
0.500 0.500 0.500
0.000 0.000 0.500
0.500 0.000 0.000

No. 2
Nd3CuGe3, relaxed, DFT PBE-GGA; total energy = -5.333 eV per atom; energy of formation from the pure elements = -0.73 eV per atom; density = 7.12 Mg/m³
1.0
-1.331 3.648 1.428
-0.090 -1.623 4.062
9.427 1.672 -1.480
Nd Cu Ge
3 1 3
Direct
0.319 0.819 0.637
0.683 0.183 0.365
0.001 0.001 0.003
0.431 0.431 0.862
0.149 0.649 0.297
0.860 0.360 0.719
0.558 0.558 0.117